A plane-wave DFT calculation with PBE was carried out for Tc2PW after structural relaxation. Values from VASP.

Geometry as Quantum ESPRESSO input:
```
&SYSTEM
  ibrav = 0, nat = 8, ntyp = 3
/
ATOMIC_SPECIES
Tc 98.00 Tc.upf
P 30.97 P.upf
W 183.84 W.upf
CELL_PARAMETERS angstrom
9.673 0.000 0.000
0.000 2.964 0.000
-2.078 0.000 3.996
ATOMIC_POSITIONS angstrom
Tc 0.000 0.000 0.000
Tc 0.674 0.000 2.920
Tc 4.836 1.482 0.000
Tc 5.511 1.482 2.920
P 1.839 1.482 0.551
P 6.676 0.000 0.551
W 3.383 0.000 1.792
W 8.220 1.482 1.792
```

**Electronic total energy**: -9.95 eV/atom
**Formation enthalpy at 0 K**: -0.181 eV per atom
**DOS at the Fermi energy**: 0.544 states/eV/atom